No. 1
VASP calculation (PBE) on a geometry-optimized GeSbPb2Se5 structure.

Values from the calculation:
size of the total moment = 0.00 μB/f.u.
electronic total energy = -4.098 eV/atom
uncorrected formation energy = -0.3673 eV per atom

Lattice parameters (Å, degrees): 4.395 9.412 12.657 90.00 90.00 103.50
Element x y z (fractional)
Se 0.021 0.041 0.008
Ge 0.450 0.900 0.424
Sb 0.797 0.594 0.537
Pb 0.108 0.217 0.342
Se 0.679 0.358 0.868
Se 0.706 0.413 0.180
Se 0.979 0.959 0.508
Se 0.512 0.024 0.255
Se 0.653 0.305 0.520
Sb 0.203 0.406 0.037
Se 0.294 0.587 0.680
Pb 0.892 0.783 0.842
Pb 0.868 0.735 0.191
Pb 0.132 0.265 0.691
Se 0.321 0.642 0.368
Se 0.347 0.695 0.020
Se 0.488 0.976 0.755
Ge 0.550 0.100 0.924

No. 2
VASP calculation (PBE) on a geometry-optimized BaLaBi2 structure.

Values from the calculation:
distance to the lowest polymorph of the same formula = 3.0 kJ/mol of atoms
size of the total moment = 0.00 μB/f.u.
electronic total energy = -4.479 eV/atom
formation energy = -3.31 eV per formula unit

Lattice parameters (Å, degrees): 6.906 6.906 13.831 90.00 90.00 90.00
Element x y z (fractional)
Bi 0.251 0.500 0.389
Bi 0.251 0.000 0.111
La 0.751 0.000 0.125
Ba 0.749 0.500 0.875
Ba 0.749 0.000 0.625
Bi 0.749 0.000 0.889
Bi 0.751 0.500 0.139
La 0.751 0.500 0.375
Bi 0.749 0.500 0.611
Bi 0.249 0.500 0.861
Bi 0.751 0.000 0.361
Ba 0.251 0.500 0.125
Bi 0.249 0.000 0.639
Ba 0.251 0.000 0.375
La 0.249 0.500 0.625
La 0.249 0.000 0.875

No. 3
VASP calculation (PBE) on a geometry-optimized ZnNi2Te structure.

Values from the calculation:
distance to the lowest polymorph of the same formula = 28.8 kJ/mol of atoms
size of the total moment = 0.00 μB/f.u.
electronic total energy = -3.701 eV/atom
uncorrected formation energy = 0.2932 eV per atom

Lattice parameters (Å, degrees): 4.419 4.419 4.419 60.00 60.00 60.00
Element x y z (fractional)
Ni 0.000 0.000 0.000
Ni 0.250 0.250 0.250
Zn 0.750 0.750 0.750
Te 0.500 0.500 0.500